1.
Computed, not measured: an optimized crystal structure of LaTl2Br at the PBEsol level of DFT.

Computed properties:
Crystal system: orthorhombic

Unit cell a=3.5531 b=5.9294 c=5.9294 alpha=115.56 beta=90.00 gamma=90.00
Closest atoms and distances in Å follow each position.
Fractional positions:
Br  0.5000  0.0000  0.0000  2 La 3.16, 8 Tl 3.46
Tl  0.0000  0.5000  0.0000  2 Tl 3.16, 4 Br 3.46, 4 La 3.46
La  0.5000  0.5000  0.5000  2 Br 3.16, 8 Tl 3.46
Tl  0.0000  0.0000  0.5000  2 Tl 3.16, 4 La 3.46, 4 Br 3.46

2.
Computed, not measured: an optimized crystal structure of LaTl2Br at the PBEsol level of DFT.

Computed properties:
Crystal system: tetragonal

Unit cell a=4.3369 b=4.3369 c=6.5424 alpha=109.36 beta=109.36 gamma=90.00
Closest atoms and distances in Å follow each position.
Fractional positions:
Tl  0.7500  0.2500  0.5000  4 Tl 3.07
Br  0.5000  0.5000  0.0000  4 La 3.07
Tl  0.2500  0.7500  0.5000  4 Tl 3.07
La  0.0000  0.0000  0.0000  4 Br 3.07

Stability summary - winner: 2; margin: 10.4 kJ/mol of atoms.

1.
Computed, not measured: an optimized crystal structure of LaTlBr at the PBEsol level of DFT.

Computed properties:
Crystal system: cubic

Unit cell a=5.1757 b=5.1757 c=5.1757 alpha=60.00 beta=60.00 gamma=60.00
Closest atoms and distances in Å follow each position.
Fractional positions:
La  0.2500  0.2500  0.2500  4 Tl 3.17, 4 Br 3.17
Br  0.5000  0.5000  0.5000  4 La 3.17
Tl  0.0000  0.0000  0.0000  4 La 3.17

2.
Computed, not measured: an optimized crystal structure of LaTlBr at the PBEsol level of DFT.

Computed properties:
Crystal system: trigonal

Unit cell a=3.7737 b=3.7737 c=7.5673 alpha=90.00 beta=90.00 gamma=120.00
Closest atoms and distances in Å follow each position.
Fractional positions:
La  0.3333  0.6667  0.6842  3 Br 3.03, 3 Tl 3.32
Tl  0.6667  0.3333  0.3528  3 La 3.32, 3 Br 3.67
Br  0.0000  0.0000  0.9630  3 La 3.03

Stability summary - winner: 2; margin: 28.9 kJ/mol of atoms.

1.
Computed, not measured: an optimized crystal structure of LaW2Br at the PBEsol level of DFT.

Computed properties:
Crystal system: monoclinic

Unit cell a=3.2782 b=4.7445 c=5.7657 alpha=90.00 beta=90.00 gamma=90.81
Closest atoms and distances in Å follow each position.
Fractional positions:
Br  0.0000  0.0000  0.5000  4 La 2.86-2.90
W  0.7588  0.6937  0.0000  2 W 2.44-2.48
W  0.2412  0.3063  0.0000  2 W 2.44-2.48
La  0.5000  0.5000  0.5000  4 Br 2.86-2.90, 4 W 3.14

2.
Computed, not measured: an optimized crystal structure of LaW2Br at the PBEsol level of DFT.

Computed properties:
Crystal system: trigonal

Unit cell a=2.9686 b=2.9686 c=10.2282 alpha=81.66 beta=81.66 gamma=60.00
Closest atoms and distances in Å follow each position.
Fractional positions:
W  0.2382  0.2382  0.2854  3 Br 2.76, 6 W 2.97
La  0.0000  0.0000  0.0000  6 La 2.97
W  0.7618  0.7618  0.7146  3 Br 2.76, 6 W 2.97
Br  0.5000  0.5000  0.5000  6 W 2.76, 6 Br 2.97

Stability summary - winner: 1; margin: 44.8 kJ/mol of atoms.